(1)
GdBe | the Alexandria database | GGA-PBE | relaxed; ΔE_f = 120 meV per atom; V = 41 Å³/f.u.; density of states at the Fermi level = 2.071 states/eV/cell; theoretical density = 6.81 g cm⁻³; polymorph energy (0 for the lowest one) = 2.098 kcal/mol of atoms; E_tot = -8.784 eV/atom
1.0
3.436 0.000 0.000
0.000 3.436 0.000
0.000 0.000 3.436
Gd Be
1 1
Cartesian
0.000 0.000 0.000
1.718 1.718 1.718



(2)
BaCd2GeAu4 | the Alexandria database | GGA-PBE | relaxed; ΔE_f = -257 meV per atom; V = 190 Å³/f.u.; density of states at the Fermi level = 4.135 states/eV/cell; theoretical density = 10.70 g cm⁻³; E_tot = -2.942 eV/atom
1.0
2.348 1.355 9.942
-2.348 1.355 9.942
0.000 -2.711 9.942
Ba Cd Ge Au
1 2 1 4
Cartesian
0.000 0.000 0.000
0.000 0.000 7.190
0.000 0.000 22.636
0.000 0.000 14.913
0.000 0.000 4.068
0.000 0.000 12.039
0.000 0.000 17.787
0.000 0.000 25.758



(3)
Y2ScRe | the Alexandria database | GGA-PBE | relaxed; ΔE_f = 382 meV per atom; V = 101 Å³/f.u.; density of states at the Fermi level = 5.269 states/eV/cell; theoretical density = 6.75 g cm⁻³; polymorph energy (0 for the lowest one) = 6.416 kcal/mol of atoms; E_tot = -7.545 eV/atom
1.0
1.699 0.981 10.050
-1.699 0.981 10.050
0.000 -1.962 10.050
Y Sc Re
2 1 1
Cartesian
0.000 0.000 7.119
0.000 0.000 23.032
0.000 0.000 0.000
0.000 0.000 15.076



(4)
La2Y6HoEr | the Alexandria database | GGA-PBE | relaxed; ΔE_f = 116 meV per atom; V = 332 Å³/f.u.; density of states at the Fermi level = 30.227 states/eV/cell; theoretical density = 5.72 g cm⁻³; E_tot = -5.662 eV/atom
1.0
4.540 -7.486 0.000
4.540 7.486 0.000
-1.925 0.000 9.764
La Y Ho Er
4 12 2 2
Cartesian
2.099 0.712 0.441
1.136 -0.712 5.323
6.018 0.712 4.441
5.055 -0.712 9.323
2.369 4.198 1.833
2.832 4.630 5.437
3.359 4.630 9.209
2.908 1.543 3.735
5.748 4.198 3.049
5.209 1.543 1.147
1.945 -1.543 8.617
1.406 -4.198 6.715
4.246 -1.543 6.029
3.795 -4.630 0.555
4.322 -4.630 4.327
4.785 -4.198 7.931
4.058 7.278 2.441
3.096 -7.278 7.323
3.096 1.451 7.323
4.058 -1.451 2.441



Question: Which of these has the highest theoretical density?
Answer: BaCd2GeAu4



Question: Which value of V does entry 4 give?
Answer: 332 Å³/f.u.